No. 1
Computed, not measured: a relaxed LiAg3O crystal at the GGA-PBEsol level of DFT.

```
5
Lattice="4.3965 0.0000 0.0000 0.0000 4.3965 0.0000 0.0000 0.0000 4.3965" Properties=species:S:1:pos:R:3 pbc="T T T"
Li 0.0000 0.0000 0.0000
Ag 0.0000 2.1982 2.1982
Ag 2.1982 0.0000 2.1982
Ag 2.1982 2.1982 0.0000
O 2.1982 2.1982 2.1982
```

Computed properties:
**Formation energy (no corrections)**: 0.057 eV/atom
**Spin magnetization**: 0.00 μB per formula unit
**N(E_F)**: 1.5 states/eV per cell
**Theoretical density**: 6.8 Mg/m³


No. 2
Computed, not measured: a relaxed Ca2CdSe2 crystal at the GGA-PBEsol level of DFT.

```
10
Lattice="7.9858 0.0000 0.0000 0.0000 7.9858 0.0000 0.0000 0.0000 3.7353" Properties=species:S:1:pos:R:3 pbc="T T T"
Ca 1.2380 2.7549 0.0000
Ca 2.7549 6.7478 0.0000
Ca 5.2309 1.2380 0.0000
Ca 6.7478 5.2309 0.0000
Cd 0.0000 0.0000 1.8677
Cd 3.9929 3.9929 1.8677
Se 1.1985 5.1914 1.8677
Se 2.7944 1.1985 1.8677
Se 5.1914 6.7873 1.8677
Se 6.7873 2.7944 1.8677
```

Computed properties:
**Formation energy (no corrections)**: -1.329 eV/atom
**Spin magnetization**: 0.00 μB per formula unit
**N(E_F)**: 1.0 states/eV per cell
**Relative energy among the computed polymorphs**: 0.000 eV/atom
**Theoretical density**: 4.9 Mg/m³


No. 3
Computed, not measured: a relaxed TiRhPb2 crystal at the GGA-PBEsol level of DFT.

```
4
Lattice="0.0000 3.3769 3.3769 3.3769 0.0000 3.3769 3.3769 3.3769 0.0000" Properties=species:S:1:pos:R:3 pbc="T T T"
Ti 0.0000 0.0000 0.0000
Rh 3.3769 3.3769 3.3769
Pb 1.6885 1.6885 1.6885
Pb 5.0654 5.0654 5.0654
```

Computed properties:
**Energy of formation**: 0.098 eV/atom
**Spin magnetization**: 1.35 μB per formula unit
**N(E_F)**: 4.6 states/eV per cell
**Theoretical density**: 12.2 Mg/m³


No. 4
Computed, not measured: a relaxed Rb2HCl crystal at the GGA-PBEsol level of DFT.

```
8
Lattice="-3.8778 3.8778 4.4776 3.8778 -3.8778 4.4776 3.8778 3.8778 -4.4776" Properties=species:S:1:pos:R:3 pbc="T T T"
Rb 1.9389 1.6315 -1.1194
Rb 2.2463 -1.9389 5.5971
Rb 1.9389 2.2463 3.3582
Rb 1.6315 5.8167 1.1194
H 0.0000 0.0000 0.0000
H 0.0000 3.8778 2.2388
Cl 3.8778 0.0000 2.2388
Cl 0.0000 0.0000 4.4776
```

Computed properties:
**Spin magnetization**: 0.00 μB per formula unit
**N(E_F)**: 0.0 states/eV per cell
**Relative energy among the computed polymorphs**: 0.014 eV/atom
**Theoretical density**: 2.6 Mg/m³


No. 5
Computed, not measured: a relaxed NbCd2NiAs crystal at the GGA-PBEsol level of DFT.

```
5
Lattice="5.2848 0.0000 0.0000 0.0000 5.2848 0.0000 0.0000 0.0000 4.4290" Properties=species:S:1:pos:R:3 pbc="T T T"
Nb 0.0000 0.0000 0.0000
Cd 0.0000 2.6424 0.0000
Cd 2.6424 0.0000 0.0000
Ni 0.0000 0.0000 2.2145
As 2.6424 2.6424 2.2145
```

Computed properties:
**Energy of formation**: 1.423 eV/atom
**Spin magnetization**: 0.01 μB per formula unit
**N(E_F)**: 6.1 states/eV per cell
**Theoretical density**: 6.1 Mg/m³


No. 6
Computed, not measured: a relaxed Zr5Sn3S crystal at the GGA-PBEsol level of DFT.

```
18
Lattice="8.4603 0.0000 0.0000 -4.2302 7.3268 0.0000 0.0000 0.0000 5.9124" Properties=species:S:1:pos:R:3 pbc="T T T"
Zr -1.0624 1.8401 1.4781
Zr -3.1678 5.4868 4.4343
Zr 2.1247 0.0000 1.4781
Zr 1.0624 1.8401 4.4343
Zr 0.0000 4.8846 0.0000
Zr 0.0000 4.8846 2.9562
Zr 4.2302 2.4423 0.0000
Zr 4.2302 2.4423 2.9562
Zr 6.3356 0.0000 4.4343
Zr 3.1678 5.4868 1.4781
Sn -1.6897 2.9266 4.4343
Sn -2.5405 4.4002 1.4781
Sn 3.3794 0.0000 4.4343
Sn 1.6897 2.9266 1.4781
Sn 5.0810 0.0000 1.4781
Sn 2.5405 4.4002 4.4343
S 0.0000 0.0000 0.0000
S 0.0000 0.0000 2.9562
```

Computed properties:
**Formation energy (no corrections)**: -0.982 eV/atom
**Spin magnetization**: 0.00 μB per formula unit
**N(E_F)**: 7.2 states/eV per cell
**Theoretical density**: 7.7 Mg/m³


No. 7
Computed, not measured: a relaxed RePdSe2 crystal at the GGA-PBEsol level of DFT.

```
8
Lattice="-2.8473 2.8473 5.3185 2.8473 -2.8473 5.3185 2.8473 2.8473 -5.3185" Properties=species:S:1:pos:R:3 pbc="T T T"
Re 0.0000 0.0000 0.0000
Re 0.0000 2.8473 2.6592
Pd 2.8473 0.0000 2.6592
Pd 0.0000 0.0000 5.3185
Se 4.2710 1.3385 -1.3296
Se 1.3385 1.4237 1.3296
Se -1.4237 1.5088 3.9888
Se 1.5088 1.4237 6.6481
```

Computed properties:
**Formation energy (no corrections)**: 0.250 eV/atom
**Spin magnetization**: 0.00 μB per formula unit
**N(E_F)**: 5.4 states/eV per cell
**Theoretical density**: 8.7 Mg/m³


No. 8
Computed, not measured: a relaxed NaAl2Sb crystal at the GGA-PBEsol level of DFT.

```
8
Lattice="-4.2159 4.2159 2.7989 4.2159 -4.2159 2.7989 4.2159 4.2159 -2.7989" Properties=species:S:1:pos:R:3 pbc="T T T"
Na 0.0000 0.0000 0.0000
Na 0.0000 4.2159 1.3994
Al 2.1079 2.5529 -0.6997
Al 5.8789 2.1079 0.6997
Al 2.1079 1.6630 2.0992
Al -1.6630 2.1079 3.4986
Sb 4.2159 0.0000 1.3994
Sb 0.0000 0.0000 2.7989
```

Computed properties:
**Formation energy (no corrections)**: 0.134 eV/atom
**Spin magnetization**: 0.00 μB per formula unit
**N(E_F)**: 2.6 states/eV per cell
**Theoretical density**: 3.3 Mg/m³


No. 9
Computed, not measured: a relaxed HoSn3 crystal at the GGA-PBEsol level of DFT.

```
4
Lattice="4.6202 0.0000 0.0000 0.0000 4.6202 0.0000 0.0000 0.0000 4.6202" Properties=species:S:1:pos:R:3 pbc="T T T"
Ho 0.0000 0.0000 0.0000
Sn 0.0000 2.3101 2.3101
Sn 2.3101 0.0000 2.3101
Sn 2.3101 2.3101 0.0000
```

Computed properties:
**Energy of formation**: -0.469 eV/atom
**Spin magnetization**: 0.00 μB per formula unit
**N(E_F)**: 2.1 states/eV per cell
**Theoretical density**: 8.8 Mg/m³


No. 10
Computed, not measured: a relaxed Ca2CoP crystal at the GGA-PBEsol level of DFT.

```
4
Lattice="3.9571 0.0000 0.0000 0.0000 3.9571 0.0000 0.0000 0.0000 5.8232" Properties=species:S:1:pos:R:3 pbc="T T T"
Ca 0.0000 0.0000 0.0000
Ca 1.9786 1.9786 2.3438
Co 0.0000 0.0000 3.1015
P 1.9786 1.9786 5.1580
```

Computed properties:
**Energy of formation**: 0.087 eV/atom
**Spin magnetization**: 1.96 μB per formula unit
**N(E_F)**: 5.3 states/eV per cell
**Theoretical density**: 3.1 Mg/m³


No. 11
Computed, not measured: a relaxed Li3InBr6 crystal at the GGA-PBEsol level of DFT.

```
20
Lattice="3.3503 -5.7826 0.0000 3.3503 5.7826 0.0000 -2.3836 0.0000 12.6511" Properties=species:S:1:pos:R:3 pbc="T T T"
Li 1.5625 4.7057 9.4883
Li -0.7840 0.9218 12.6483
Li 0.4078 -0.9218 6.3227
Li 3.9091 0.9218 6.3284
Li 5.1009 -0.9218 0.0029
Li 2.7544 -4.7057 3.1628
In 0.4833 2.8913 6.3256
In 1.6751 -2.8913 0.0000
Br -0.6325 0.9626 7.8727
Br 0.4469 2.9221 11.1362
Br 0.5594 -0.9626 1.5471
Br 1.5407 0.9768 4.7932
Br 2.6781 2.9221 7.8404
Br 0.3488 -0.9768 11.1188
Br 3.9680 0.9768 1.5324
Br 1.6387 -2.9221 4.8107
Br 2.7762 -0.9768 7.8579
Br 3.7575 0.9626 11.1040
Br 3.8700 -2.9221 1.5149
Br 4.9493 -0.9626 4.7784
```

Computed properties:
**Formation energy (no corrections)**: -1.250 eV/atom
**Spin magnetization**: 0.00 μB per formula unit
**N(E_F)**: 0.0 states/eV per cell
**Theoretical density**: 4.2 Mg/m³


No. 12
Computed, not measured: a relaxed Mg2ScAg crystal at the GGA-PBEsol level of DFT.

```
4
Lattice="3.4310 0.0000 0.0000 0.0000 3.4310 0.0000 0.0000 0.0000 6.9292" Properties=species:S:1:pos:R:3 pbc="T T T"
Mg 0.0000 0.0000 0.0000
Mg 1.7155 1.7155 1.8456
Sc 0.0000 0.0000 3.7811
Ag 1.7155 1.7155 5.3522
```

Computed properties:
**Energy of formation**: -0.150 eV/atom
**Spin magnetization**: 0.00 μB per formula unit
**N(E_F)**: 2.2 states/eV per cell
**Theoretical density**: 4.1 Mg/m³